(1)
Computed, not measured: a geometry-optimized As3WS structure at the GGA-PBE level of DFT.

Summary:
E above lowest polymorph	675	meV/atom
formation energy (no corrections)	1.30	eV/atom
ρ	7.28	Mg/m³

Cell: 4.651 4.651 4.651 Å, 90.00 90.00 90.00°
Fractional coordinates of all 5 atoms:
As 0.000 0.000 0.500
As 0.000 0.500 0.000
As 0.500 0.000 0.000
W 0.500 0.500 0.500
S 0.000 0.000 0.000

***

(2)
Computed, not measured: a geometry-optimized Y8AsS5 structure at the GGA-PBE level of DFT.

Summary:
formation energy (no corrections)	-1.45	eV/atom
ρ	5.28	Mg/m³

Cell: 7.287 7.287 7.287 Å, 109.29 109.29 109.84°
Fractional coordinates of all 14 atoms:
Y 0.123 0.368 0.115
Y 0.126 0.378 0.621
Y 0.252 0.007 0.885
Y 0.495 0.874 0.251
Y 0.622 0.244 0.749
Y 0.632 0.748 0.755
Y 0.756 0.505 0.379
Y 0.993 0.877 0.245
As 0.250 0.750 0.500
S 0.376 0.251 0.375
S 0.500 0.500 0.000
S 0.749 0.125 0.126
S 0.875 0.001 0.625
S 0.999 0.624 0.874

***

(3)
Computed, not measured: a geometry-optimized YAsS structure at the GGA-PBE level of DFT.

Summary:
formation energy (no corrections)	-1.56	eV/atom
ρ	5.14	Mg/m³

Cell: 17.067 3.834 3.869 Å, 90.00 90.00 90.00°
Fractional coordinates of all 12 atoms:
Y 0.146 0.250 0.235
Y 0.354 0.750 0.735
Y 0.646 0.250 0.265
Y 0.854 0.750 0.765
As 0.002 0.250 0.717
As 0.498 0.750 0.217
As 0.502 0.250 0.783
As 0.998 0.750 0.283
S 0.187 0.750 0.738
S 0.313 0.250 0.238
S 0.687 0.750 0.762
S 0.813 0.250 0.262

***

(4)
Computed, not measured: a geometry-optimized Y8As4S3 structure at the GGA-PBE level of DFT.

Summary:
formation energy (no corrections)	-1.64	eV/atom
ρ	5.01	Mg/m³

Cell: 8.031 8.031 8.010 Å, 119.81 119.81 90.10°
Fractional coordinates of all 15 atoms:
Y 0.247 0.247 0.496
Y 0.250 0.250 0.997
Y 0.250 0.750 0.000
Y 0.250 0.750 0.500
Y 0.750 0.250 0.000
Y 0.750 0.250 0.500
Y 0.750 0.750 0.003
Y 0.753 0.753 0.504
As 0.000 0.000 0.000
As 0.000 0.500 0.000
As 0.500 0.000 0.000
As 0.500 0.500 0.500
S 0.000 0.000 0.500
S 0.000 0.500 0.500
S 0.500 0.000 0.500

***

(5)
Computed, not measured: a geometry-optimized YAsS structure at the GGA-PBE level of DFT.

Summary:
formation energy (no corrections)	-1.54	eV/atom
ρ	5.16	Mg/m³

Cell: 9.015 9.015 9.015 Å, 155.48 155.48 34.95°
Fractional coordinates of all 6 atoms:
Y 0.146 0.146 0.000
Y 0.854 0.854 0.000
As 0.000 0.500 0.500
As 0.500 0.000 0.500
S 0.313 0.313 0.000
S 0.687 0.687 0.000

***

(6)
Computed, not measured: a geometry-optimized Y2AsS4 structure at the GGA-PBE level of DFT.

Summary:
formation energy (no corrections)	-1.17	eV/atom
ρ	4.16	Mg/m³

Cell: 5.835 5.835 5.835 Å, 111.85 111.85 104.80°
Fractional coordinates of all 7 atoms:
Y 0.250 0.750 0.500
Y 0.750 0.250 0.500
As 0.000 0.000 0.000
S 0.263 0.263 0.527
S 0.263 0.737 0.000
S 0.737 0.263 0.000
S 0.737 0.737 0.473

***

(7)
Computed, not measured: a geometry-optimized Y3AsS structure at the GGA-PBE level of DFT.

Summary:
E above lowest polymorph	0	meV/atom
formation energy (no corrections)	-0.76	eV/atom
ρ	4.61	Mg/m³

Cell: 5.124 5.124 5.124 Å, 90.00 90.00 90.00°
Fractional coordinates of all 5 atoms:
Y 0.000 0.000 0.500
Y 0.000 0.500 0.000
Y 0.500 0.000 0.000
As 0.500 0.500 0.500
S 0.000 0.000 0.000

***

(8)
Computed, not measured: a geometry-optimized YAsS structure at the GGA-PBE level of DFT.

Summary:
formation energy (no corrections)	-1.21	eV/atom
ρ	4.72	Mg/m³

Cell: 10.674 10.674 10.674 Å, 160.32 160.32 27.98°
Fractional coordinates of all 6 atoms:
Y 0.155 0.155 0.000
Y 0.845 0.845 0.000
As 0.442 0.442 0.000
As 0.558 0.558 0.000
S 0.297 0.297 0.000
S 0.703 0.703 0.000

***

(9)
Computed, not measured: a geometry-optimized Y2As2S structure at the GGA-PBE level of DFT.

Summary:
formation energy (no corrections)	-1.30	eV/atom
ρ	5.17	Mg/m³

Cell: 7.462 7.462 4.150 Å, 90.00 90.00 90.00°
Fractional coordinates of all 10 atoms:
Y 0.182 0.318 0.000
Y 0.318 0.818 0.000
Y 0.682 0.182 0.000
Y 0.818 0.682 0.000
As 0.117 0.617 0.500
As 0.383 0.117 0.500
As 0.617 0.883 0.500
As 0.883 0.383 0.500
S 0.000 0.000 0.000
S 0.500 0.500 0.000

***

(10)
Computed, not measured: a geometry-optimized Y4AsS2 structure at the GGA-PBE level of DFT.

Summary:
formation energy (no corrections)	-1.51	eV/atom
ρ	4.70	Mg/m³

Cell: 7.650 7.650 6.686 Å, 115.19 115.19 29.82°
Fractional coordinates of all 7 atoms:
Y 0.126 0.126 0.461
Y 0.370 0.370 0.031
Y 0.630 0.630 0.969
Y 0.874 0.874 0.539
As 0.000 0.000 0.000
S 0.258 0.258 0.263
S 0.742 0.742 0.737

***

(11)
Computed, not measured: a geometry-optimized Y8As3S4 structure at the GGA-PBE level of DFT.

Summary:
formation energy (no corrections)	-1.70	eV/atom
ρ	4.91	Mg/m³

Cell: 7.979 7.979 7.970 Å, 119.86 119.86 90.10°
Fractional coordinates of all 15 atoms:
Y 0.244 0.244 0.491
Y 0.246 0.246 0.997
Y 0.247 0.753 0.000
Y 0.249 0.751 0.500
Y 0.751 0.249 0.500
Y 0.753 0.247 0.000
Y 0.754 0.754 0.003
Y 0.756 0.756 0.509
As 0.000 0.500 0.000
As 0.500 0.000 0.000
As 0.500 0.500 0.500
S 0.000 0.000 0.000
S 0.000 0.000 0.500
S 0.000 0.500 0.500
S 0.500 0.000 0.500

***

(12)
Computed, not measured: a geometry-optimized YAsS structure at the GGA-PBE level of DFT.

Summary:
formation energy (no corrections)	-1.47	eV/atom
ρ	5.09	Mg/m³

Cell: 7.047 3.784 9.594 Å, 90.00 90.00 90.00°
Fractional coordinates of all 12 atoms:
Y 0.206 0.250 0.161
Y 0.294 0.750 0.661
Y 0.706 0.250 0.339
Y 0.794 0.750 0.839
As 0.105 0.250 0.459
As 0.395 0.750 0.959
As 0.605 0.250 0.041
As 0.895 0.750 0.541
S 0.087 0.250 0.840
S 0.413 0.750 0.340
S 0.587 0.250 0.660
S 0.913 0.750 0.160

***

(13)
Computed, not measured: a geometry-optimized YAsS structure at the GGA-PBE level of DFT.

Summary:
formation energy (no corrections)	-1.55	eV/atom
ρ	5.18	Mg/m³

Cell: 3.831 3.831 8.562 Å, 90.00 90.00 90.00°
Fractional coordinates of all 6 atoms:
Y 0.250 0.250 0.209
Y 0.750 0.750 0.791
As 0.250 0.750 0.500
As 0.750 0.250 0.500
S 0.250 0.250 0.874
S 0.750 0.750 0.126

***

(14)
Computed, not measured: a geometry-optimized Y3As5S12 structure at the GGA-PBE level of DFT.

Summary:
formation energy (no corrections)	-0.69	eV/atom
ρ	3.64	Mg/m³

Cell: 13.454 13.454 13.454 Å, 109.47 109.47 109.47°
Fractional coordinates of all 80 atoms:
Y 0.125 0.250 0.375
Y 0.125 0.375 0.750
Y 0.250 0.375 0.125
Y 0.250 0.875 0.625
Y 0.375 0.125 0.250
Y 0.375 0.750 0.125
Y 0.625 0.250 0.875
Y 0.625 0.875 0.750
Y 0.750 0.125 0.375
Y 0.750 0.625 0.875
Y 0.875 0.625 0.250
Y 0.875 0.750 0.625
As 0.000 0.000 0.000
As 0.000 0.000 0.500
As 0.000 0.500 0.000
As 0.000 0.500 0.500
As 0.125 0.750 0.875
As 0.125 0.875 0.250
As 0.250 0.125 0.875
As 0.250 0.625 0.375
As 0.375 0.250 0.625
As 0.375 0.625 0.750
As 0.500 0.000 0.000
As 0.500 0.000 0.500
As 0.500 0.500 0.000
As 0.500 0.500 0.500
As 0.625 0.375 0.250
As 0.625 0.750 0.375
As 0.750 0.375 0.625
As 0.750 0.875 0.125
As 0.875 0.125 0.750
As 0.875 0.250 0.125
S 0.043 0.214 0.132
S 0.043 0.328 0.911
S 0.083 0.714 0.672
S 0.083 0.868 0.411
S 0.089 0.632 0.417
S 0.089 0.957 0.672
S 0.132 0.043 0.214
S 0.132 0.589 0.917
S 0.172 0.214 0.583
S 0.172 0.457 0.589
S 0.214 0.132 0.043
S 0.214 0.583 0.172
S 0.286 0.328 0.917
S 0.286 0.457 0.368
S 0.328 0.911 0.043
S 0.328 0.917 0.286
S 0.368 0.286 0.457
S 0.368 0.583 0.911
S 0.411 0.083 0.868
S 0.411 0.828 0.543
S 0.417 0.089 0.632
S 0.417 0.828 0.786
S 0.457 0.368 0.286
S 0.457 0.589 0.172
S 0.543 0.411 0.828
S 0.543 0.632 0.714
S 0.583 0.172 0.214
S 0.583 0.911 0.368
S 0.589 0.172 0.457
S 0.589 0.917 0.132
S 0.632 0.417 0.089
S 0.632 0.714 0.543
S 0.672 0.083 0.714
S 0.672 0.089 0.957
S 0.714 0.543 0.632
S 0.714 0.672 0.083
S 0.786 0.417 0.828
S 0.786 0.868 0.957
S 0.828 0.543 0.411
S 0.828 0.786 0.417
S 0.868 0.411 0.083
S 0.868 0.957 0.786
S 0.911 0.043 0.328
S 0.911 0.368 0.583
S 0.917 0.132 0.589
S 0.917 0.286 0.328
S 0.957 0.672 0.089
S 0.957 0.786 0.868

***

(15)
Computed, not measured: a geometry-optimized Y4AsS3 structure at the GGA-PBE level of DFT.

Summary:
formation energy (no corrections)	-1.91	eV/atom
ρ	4.93	Mg/m³

Cell: 5.619 5.619 5.619 Å, 90.00 90.00 90.00°
Fractional coordinates of all 8 atoms:
Y 0.000 0.000 0.000
Y 0.000 0.500 0.500
Y 0.500 0.000 0.500
Y 0.500 0.500 0.000
As 0.500 0.500 0.500
S 0.000 0.000 0.500
S 0.000 0.500 0.000
S 0.500 0.000 0.000

***

(16)
Computed, not measured: a geometry-optimized Y4As3S structure at the GGA-PBE level of DFT.

Summary:
formation energy (no corrections)	-1.70	eV/atom
ρ	5.30	Mg/m³

Cell: 7.060 7.060 7.060 Å, 131.77 131.77 70.60°
Fractional coordinates of all 8 atoms:
Y 0.000 0.500 0.500
Y 0.250 0.250 0.000
Y 0.500 0.000 0.500
Y 0.750 0.750 0.000
As 0.000 0.000 0.000
As 0.250 0.750 0.500
As 0.750 0.250 0.500
S 0.500 0.500 0.000

***

(17)
Computed, not measured: a geometry-optimized Y3AsS6 structure at the GGA-PBE level of DFT.

Summary:
formation energy (no corrections)	-1.55	eV/atom
ρ	3.76	Mg/m³

Cell: 8.487 8.487 6.706 Å, 90.00 90.00 102.62°
Fractional coordinates of all 20 atoms:
Y 0.098 0.902 0.500
Y 0.216 0.418 0.589
Y 0.418 0.216 0.089
Y 0.582 0.784 0.589
Y 0.784 0.582 0.089
Y 0.902 0.098 0.000
As 0.322 0.678 0.118
As 0.678 0.322 0.618
S 0.080 0.599 0.289
S 0.138 0.191 0.293
S 0.191 0.138 0.793
S 0.269 0.731 0.744
S 0.401 0.920 0.289
S 0.484 0.516 0.348
S 0.516 0.484 0.848
S 0.599 0.080 0.789
S 0.731 0.269 0.244
S 0.809 0.862 0.293
S 0.862 0.809 0.793
S 0.920 0.401 0.789

***

(18)
Computed, not measured: a geometry-optimized Y6As5S structure at the GGA-PBE level of DFT.

Summary:
formation energy (no corrections)	-1.66	eV/atom
ρ	5.36	Mg/m³

Cell: 7.090 7.090 7.096 Å, 99.59 99.59 119.96°
Fractional coordinates of all 12 atoms:
Y 0.083 0.417 0.750
Y 0.250 0.250 0.249
Y 0.417 0.083 0.750
Y 0.583 0.917 0.250
Y 0.750 0.750 0.751
Y 0.917 0.583 0.250
As 0.167 0.833 0.000
As 0.333 0.667 0.500
As 0.500 0.500 0.000
As 0.667 0.333 0.500
As 0.833 0.167 0.000
S 0.000 0.000 0.500

***

(19)
Computed, not measured: a geometry-optimized ZnAs2S structure at the GGA-PBE level of DFT.

Summary:
formation energy (no corrections)	0.49	eV/atom
ρ	5.76	Mg/m³

Cell: 4.654 4.654 4.654 Å, 60.00 60.00 60.00°
Fractional coordinates of all 4 atoms:
Zn 0.000 0.000 0.000
As 0.250 0.250 0.250
As 0.750 0.750 0.750
S 0.500 0.500 0.500

***

(20)
Computed, not measured: a geometry-optimized Zn2AsS4 structure at the GGA-PBE level of DFT.

Summary:
formation energy (no corrections)	0.17	eV/atom
ρ	3.86	Mg/m³

Cell: 6.915 6.915 6.915 Å, 138.49 138.49 60.15°
Fractional coordinates of all 7 atoms:
Zn 0.108 0.108 0.000
Zn 0.892 0.892 0.000
As 0.500 0.500 0.000
S 0.000 0.500 0.500
S 0.293 0.293 0.000
S 0.500 0.000 0.500
S 0.707 0.707 0.000